# LaHgRuN2

An optimized crystal structure of LaHgRuN2 (PBE-GGA, the Alexandria database).

Unit cell a=4.349 b=4.349 c=5.648 alpha=90.00 beta=90.00 gamma=90.00
Space group P4/mmm (No. 123)
One atom of each set of equivalent atoms:
La (0.000, 0.000, 0.000)
Hg (0.500, 0.500, 0.500)
Ru (0.000, 0.000, 0.500)
N (0.000, 0.500, 0.000)

Values from the calculation:
DOS(E_F): 5.78 states/eV/cell
Formation energy (no corrections): 1.50 eV/atom
Total magnetic moment: 0.711 μB per atom

# LaHgSN2

An optimized crystal structure of LaHgSN2 (PBE-GGA, the Alexandria database).

Unit cell a=4.319 b=4.319 c=4.953 alpha=90.00 beta=90.00 gamma=90.00
Space group P4/mmm (No. 123)
One atom of each set of equivalent atoms:
La (0.000, 0.000, 0.000)
Hg (0.500, 0.500, 0.500)
S (0.500, 0.500, 0.000)
N (0.000, 0.500, 0.500)

Values from the calculation:
DOS(E_F): 2.89 states/eV/cell
Formation energy (no corrections): 0.64 eV/atom
Polymorph energy (0 for the lowest one): 0.00 eV/f.u.
Total magnetic moment: 0.279 μB per atom

# LaHgSN2

An optimized crystal structure of LaHgSN2 (PBE-GGA, the Alexandria database).

Unit cell a=4.175 b=4.175 c=6.290 alpha=90.00 beta=90.00 gamma=90.00
Space group P4/mmm (No. 123)
One atom of each set of equivalent atoms:
La (0.000, 0.000, 0.000)
Hg (0.500, 0.500, 0.500)
S (0.000, 0.000, 0.500)
N (0.000, 0.500, 0.000)

Values from the calculation:
DOS(E_F): 3.71 states/eV/cell
Formation energy (no corrections): 0.75 eV/atom
Polymorph energy (0 for the lowest one): 0.55 eV/f.u.
Total magnetic moment: 0.001 μB per atom

# La4HgSb2N2

An optimized crystal structure of La4HgSb2N2 (PBE-GGA, the Alexandria database).

Unit cell a=17.707 b=3.947 c=7.929 alpha=90.00 beta=113.56 gamma=90.00
Space group C2/m (No. 12)
One atom of each set of equivalent atoms:
La (0.055, 0.000, 0.235)
La (0.220, 0.500, 0.665)
Hg (0.000, 0.500, 0.500)
Sb (0.125, 0.500, 0.988)
N (0.176, 0.000, 0.473)

Values from the calculation:
DOS(E_F): 7.96 states/eV/cell
Formation energy (no corrections): -1.06 eV/atom
Total magnetic moment: 0.000 μB per atom

# LaHgSeN2

An optimized crystal structure of LaHgSeN2 (PBE-GGA, the Alexandria database).

Unit cell a=4.388 b=4.388 c=5.161 alpha=90.00 beta=90.00 gamma=90.00
Space group P4/mmm (No. 123)
One atom of each set of equivalent atoms:
La (0.000, 0.000, 0.000)
Hg (0.500, 0.500, 0.500)
Se (0.500, 0.500, 0.000)
N (0.000, 0.500, 0.500)

Values from the calculation:
DOS(E_F): 2.63 states/eV/cell
Formation energy (no corrections): 0.72 eV/atom
Polymorph energy (0 for the lowest one): 0.28 eV/f.u.
Total magnetic moment: 0.311 μB per atom

# LaHgSeN2

An optimized crystal structure of LaHgSeN2 (PBE-GGA, the Alexandria database).

Unit cell a=4.226 b=4.226 c=6.611 alpha=90.00 beta=90.00 gamma=90.00
Space group P4/mmm (No. 123)
One atom of each set of equivalent atoms:
La (0.000, 0.000, 0.000)
Hg (0.500, 0.500, 0.500)
Se (0.000, 0.000, 0.500)
N (0.000, 0.500, 0.000)

Values from the calculation:
DOS(E_F): 3.89 states/eV/cell
Formation energy (no corrections): 0.67 eV/atom
Polymorph energy (0 for the lowest one): 0.00 eV/f.u.
Total magnetic moment: 0.000 μB per atom